# 1
# Pr5Si2Sb

An optimized crystal structure of Pr5Si2Sb (PBE, Alexandria via LeMat-Bulk).

Unit cell a=9.1789 b=9.1789 c=9.1789 alpha=128.43 beta=128.43 gamma=75.93
Last column: nearest neighbours and their distance in Å.
Fractional coordinates of all 16 atoms:
Pr (0.0000, 0.0000, 0.0000)  4 Si 3.19
Pr (0.0326, 0.5326, 0.8443)  3 Si 3.11, 2 Sb 3.36
Pr (0.1884, 0.0326, 0.5000)  3 Si 3.11, 2 Sb 3.36
Pr (0.3116, 0.8116, 0.8443)  3 Si 3.11, 2 Sb 3.36
Pr (0.4674, 0.3116, 0.5000)  3 Si 3.11, 2 Sb 3.36
Pr (0.5000, 0.5000, 0.0000)  4 Si 3.19
Pr (0.5326, 0.6884, 0.5000)  3 Si 3.11, 2 Sb 3.36
Pr (0.6884, 0.1884, 0.1557)  3 Si 3.11, 2 Sb 3.36
Pr (0.8116, 0.9674, 0.5000)  3 Si 3.11, 2 Sb 3.36
Pr (0.9674, 0.4674, 0.1557)  3 Si 3.11, 2 Sb 3.36
Si (0.1186, 0.3814, 0.5000)  1 Si 2.68
Si (0.3814, 0.8814, 0.2629)  1 Si 2.68
Si (0.6186, 0.1186, 0.7371)  1 Si 2.68
Si (0.8814, 0.6186, 0.5000)  1 Si 2.68
Sb (0.2500, 0.2500, 0.0000)  10 Pr 3.36-3.62
Sb (0.7500, 0.7500, 0.0000)  10 Pr 3.36-3.62

Properties
Total magnetization in μB per formula unit: 1.80
Fermi-level density of states in states/eV/atom: 1.13
Energy relative to the elements, uncorrected in meV/atom: -709



# 2
# Y2Er3S4

An optimized crystal structure of Y2Er3S4 (PBE, Alexandria via LeMat-Bulk).

Unit cell a=3.8418 b=3.8418 c=15.8132 alpha=90.00 beta=90.00 gamma=120.00
Last column: nearest neighbours and their distance in Å.
Fractional coordinates of all 9 atoms:
Y (0.3333, 0.6667, 0.2061)  6 S 2.75-2.78
Y (0.6667, 0.3333, 0.7939)  6 S 2.75-2.78
Er (0.0000, 0.0000, 0.0000)  6 S 2.73
Er (0.3333, 0.6667, 0.5890)  3 S 2.75
Er (0.6667, 0.3333, 0.4110)  3 S 2.75
S (0.0000, 0.0000, 0.3084)  3 Y 2.75, 3 Er 2.75
S (0.0000, 0.0000, 0.6916)  3 Y 2.75, 3 Er 2.75
S (0.3333, 0.6667, 0.8995)  3 Er 2.73, 3 Y 2.78
S (0.6667, 0.3333, 0.1005)  3 Er 2.73, 3 Y 2.78

Properties
Total magnetization in μB per formula unit: 0.00
Fermi-level density of states in states/eV/atom: 0.67
Energy relative to the elements, uncorrected in meV/atom: -1745



# 3
# Be2In3F8

An optimized crystal structure of Be2In3F8 (PBE, Alexandria via LeMat-Bulk).

Unit cell a=8.2531 b=8.2531 c=8.2531 alpha=39.51 beta=39.51 gamma=39.51
Last column: nearest neighbours and their distance in Å.
Fractional coordinates of all 13 atoms:
Be (0.1162, 0.1162, 0.1162)  4 F 1.55-1.57
Be (0.8838, 0.8838, 0.8838)  4 F 1.55-1.57
In (0.2863, 0.2863, 0.2863)  1 F 2.33
In (0.5000, 0.5000, 0.5000)  6 F 2.41
In (0.7137, 0.7137, 0.7137)  1 F 2.33
F (0.1843, 0.1843, 0.1843)  1 Be 1.55
F (0.2137, 0.7531, 0.7531)  1 Be 1.57
F (0.2469, 0.2469, 0.7863)  1 Be 1.57
F (0.2469, 0.7863, 0.2469)  1 Be 1.57
F (0.7531, 0.2137, 0.7531)  1 Be 1.57
F (0.7531, 0.7531, 0.2137)  1 Be 1.57
F (0.7863, 0.2469, 0.2469)  1 Be 1.57
F (0.8157, 0.8157, 0.8157)  1 Be 1.55

Properties
Total magnetization in μB per formula unit: 0.75
Fermi-level density of states in states/eV/atom: 0.24
Energy relative to the elements, uncorrected in meV/atom: -2477



# 4
# BaLa3Hg

An optimized crystal structure of BaLa3Hg (PBE, Alexandria via LeMat-Bulk).

Unit cell a=5.9355 b=5.9355 c=5.9355 alpha=90.00 beta=90.00 gamma=90.00
Last column: nearest neighbours and their distance in Å.
Fractional coordinates of all 5 atoms:
Ba (0.0000, 0.0000, 0.0000)  6 La 2.97
La (0.0000, 0.0000, 0.5000)  2 Ba 2.97
La (0.0000, 0.5000, 0.0000)  2 Ba 2.97
La (0.5000, 0.0000, 0.0000)  2 Ba 2.97
Hg (0.5000, 0.5000, 0.5000)  12 La 4.20

Properties
Total magnetization in μB per formula unit: 0.00
Fermi-level density of states in states/eV/atom: 2.01
DFT formation energy in eV/f.u.: 3.77